Cs2PuI7 (PBE-GGA, relaxed); total moment = 4.04 μB/f.u.; formation energy (no corrections) = -0.964 eV per atom; raw total energy = -3.653 eV per atom; Fermi-level density of states = 18.57 states/eV/cell; space group = Fm-3m; calculated density = 4.09 g cm⁻³
1.0
0.000 6.573 6.573
6.573 0.000 6.573
6.573 6.573 0.000
Cs Pu I
2 1 7
Direct
0.250 0.250 0.250
0.750 0.750 0.750
0.000 0.000 0.000
0.228 0.228 0.772
0.228 0.772 0.228
0.228 0.772 0.772
0.500 0.500 0.500
0.772 0.228 0.228
0.772 0.228 0.772
0.772 0.772 0.228